# SrLiIn2 GGA-PBE optimized geometry
# E_tot   -10.477 eV per cell
data_SrLiIn2
_chemical_formula_sum 'Sr1 Li1 In2'
_symmetry_space_group_name_H-M 'P 4/m m m'
_symmetry_Int_Tables_number 123
_symmetry_space_group_name_Hall '-P 4 2'
_cell_length_a 3.682
_cell_length_b 3.682
_cell_length_c 7.778
_cell_angle_alpha 90.00
_cell_angle_beta 90.00
_cell_angle_gamma 90.00
loop_
_atom_site_label
_atom_site_fract_x
_atom_site_fract_y
_atom_site_fract_z
Sr1 0.000 0.000 0.000
Li1 0.000 0.000 0.500
In1 0.500 0.500 0.305